VASP calculation (PBE) on a relaxed InIr2Se2 crystal.

abc: 4.123 4.123 11.412
angles: 90.00 90.00 90.00
Space group I4/mmm (No. 139)
One atom of each set of equivalent atoms:
In: 0.000 0.000 0.000 [2 per cell]
Ir: 0.000 0.000 0.390 [4 per cell]
Se: 0.000 0.500 0.250 [4 per cell]

Calculated values
The calculation puts the total energy at -25.95 eV per formula unit. The formation energy (no corrections) comes out at 0.296 eV/atom. The calculated volume is 193.97 Å³ per cell. For the spin magnetization, the calculation gives 0.000 μB/cell. The mass density comes out at 11.252 g/cm3.